Here is a relaxed CrSbAs crystal from Alexandria. Energies are from PBEsol.

Properties
* DOS(E_F): 0.627 states/eV per atom
* total magnetization: 3.89 μB per cell
* energy: -6.01 eV per atom
* formation energy from raw total energies: 0.625 eV/atom

The structure in POSCAR format:
```
CrSbAs
1.0
-0.685 -4.503 0.344
1.907 -2.838 -3.029
3.424 -2.740 1.279
As Cr Sb
1 1 1
direct
0.250 0.250 0.250
0.000 0.000 0.000
0.500 0.500 0.500
```



Here is a relaxed CrSbAsSe2 crystal from Alexandria. Energies are from PBEsol.

Properties
* DOS(E_F): 0.964 states/eV per atom
* total magnetization: 3.57 μB per cell
* energy: -4.56 eV per atom
* formation energy from raw total energies: 0.966 eV/atom

The structure in POSCAR format:
```
CrSbAsSe2
1.0
5.237 0.000 0.000
0.000 5.237 0.000
0.000 0.000 5.164
Se As Sb Cr
2 1 1 1
direct
0.000 0.500 0.000
0.500 0.000 0.000
0.000 0.000 0.500
0.000 0.000 0.000
0.500 0.500 0.500
```



Here is a relaxed ScCrAs2 crystal from Alexandria. Energies are from PBEsol.

Properties
* DOS(E_F): 0.208 states/eV per atom
* total magnetization: 2.71 μB per cell
* energy relative to the lowest polymorph listed for this composition: 0 meV per atom
* energy of formation: -0.6952 eV/atom
* energy: -7.46 eV per atom

The structure in POSCAR format:
```
ScCrAs2
1.0
-1.476 -1.743 2.979
-0.019 -3.750 0.161
4.632 -1.746 3.637
Sc Cr As
1 1 2
direct
0.000 0.000 0.000
0.500 0.500 0.500
0.759 0.759 0.722
0.241 0.241 0.278
```



Here is a relaxed ScCrAs crystal from Alexandria. Energies are from PBEsol.

Properties
* DOS(E_F): 1.129 states/eV per atom
* total magnetization: 2.94 μB per cell
* energy of formation: -0.3279 eV/atom
* energy: -7.65 eV per atom

The structure in POSCAR format:
```
ScCrAs
1.0
-1.723 1.211 2.556
2.164 -2.445 2.618
1.381 3.848 -0.893
As Sc Cr
1 1 1
direct
0.000 0.000 0.000
0.500 0.667 0.333
0.000 0.333 0.667
```



Question: Look up the DOS(E_F) of the second one.
Answer: 0.964 states/eV per atom



Question: DOS(E_F) of number 3 (ScCrAs2)?
Answer: 0.208 states/eV per atom



Question: Which value of total magnetization does entry 3 give?
Answer: 2.71 μB per cell